(1)
GGA-PBE Nd3GeSb2Pd9, relaxed; calculated density = 8.1 g/cm3; energy relative to the elements, uncorrected = -0.49 eV per atom; M_tot = 0.0 μB/cell; SG = P-3m1, No. 164
1.0
6.9069 0.0000 0.0000
-3.4535 5.9816 0.0000
0.0000 0.0000 8.4874
Nd Ge Sb Pd
3 1 2 9
Direct
0.0000 0.0000 0.0000 Nd
0.3333 0.6667 0.7170 Nd
0.6667 0.3333 0.2830 Nd
0.0000 0.0000 0.5000 Ge
0.3333 0.6667 0.2057 Sb
0.6667 0.3333 0.7943 Sb
0.0000 0.5000 0.0000 Pd
0.1338 0.2676 0.2858 Pd
0.1338 0.8662 0.2858 Pd
0.2676 0.1338 0.7142 Pd
0.5000 0.0000 0.0000 Pd
0.5000 0.5000 0.0000 Pd
0.7324 0.8662 0.2858 Pd
0.8662 0.1338 0.7142 Pd
0.8662 0.7324 0.7142 Pd

***

(2)
GGA-PBE Nd2GeSb3Pd4, relaxed; calculated density = 8.7 g/cm3; energy relative to the elements, uncorrected = -0.82 eV per atom; M_tot = 0.0 μB/cell; SG = P-4m2, No. 115
1.0
4.4953 0.0000 0.0000
0.0000 4.4953 0.0000
0.0000 0.0000 10.8577
Nd Ge Sb Pd
2 1 3 4
Direct
0.0000 0.5000 0.2487 Nd
0.5000 0.0000 0.7513 Nd
0.0000 0.0000 0.5000 Ge
0.0000 0.5000 0.8648 Sb
0.5000 0.0000 0.1352 Sb
0.5000 0.5000 0.5000 Sb
0.0000 0.0000 0.0000 Pd
0.0000 0.5000 0.6262 Pd
0.5000 0.0000 0.3738 Pd
0.5000 0.5000 0.0000 Pd

***

(3)
GGA-PBE Nd2ScGePd6, relaxed; calculated density = 7.6 g/cm3; DFT formation energy = -573 meV per atom; M_tot = 0.0 μB/cell; SG = R-3m, No. 166
1.0
2.8590 1.6506 8.0850
-2.8590 1.6506 8.0850
0.0000 -3.3012 8.0850
Nd Sc Ge Pd
2 1 1 6
Direct
0.2064 0.2064 0.2064 Nd
0.7936 0.7936 0.7936 Nd
0.0000 0.0000 0.0000 Sc
0.5000 0.5000 0.5000 Ge
0.2391 0.7472 0.7472 Pd
0.2528 0.2528 0.7609 Pd
0.2528 0.7609 0.2528 Pd
0.7472 0.2391 0.7472 Pd
0.7472 0.7472 0.2391 Pd
0.7609 0.2528 0.2528 Pd

***

(4)
GGA-PBE NdScGe2Pd5, relaxed; calculated density = 8.8 g/cm3; DFT formation energy = -710 meV per atom; M_tot = 0.0 μB/cell; SG = P4/mmm, No. 123
1.0
4.2112 0.0000 0.0000
0.0000 4.2112 0.0000
0.0000 0.0000 9.1970
Nd Sc Ge Pd
1 1 2 5
Direct
0.0000 0.0000 0.0000 Nd
0.0000 0.0000 0.5000 Sc
0.5000 0.5000 0.3700 Ge
0.5000 0.5000 0.6300 Ge
0.0000 0.5000 0.2320 Pd
0.0000 0.5000 0.7680 Pd
0.5000 0.0000 0.2320 Pd
0.5000 0.0000 0.7680 Pd
0.5000 0.5000 0.0000 Pd

***

(5)
GGA-PBE Nd2SiGe4Pd3, relaxed; calculated density = 7.9 g/cm3; energy relative to the elements, uncorrected = -0.69 eV per atom; M_tot = 0.0 μB/cell; SG = P-4m2, No. 115
1.0
4.3264 0.0000 0.0000
0.0000 4.3264 0.0000
0.0000 0.0000 10.3455
Nd Si Ge Pd
2 1 4 3
Direct
0.0000 0.5000 0.2490 Nd
0.5000 0.0000 0.7510 Nd
0.0000 0.0000 0.5000 Si
0.0000 0.0000 0.0000 Ge
0.0000 0.5000 0.6349 Ge
0.5000 0.0000 0.3651 Ge
0.5000 0.5000 0.0000 Ge
0.0000 0.5000 0.8711 Pd
0.5000 0.0000 0.1289 Pd
0.5000 0.5000 0.5000 Pd

***

(6)
GGA-PBE Nd3SiGe6Pd2, relaxed; calculated density = 7.1 g/cm3; energy relative to the elements, uncorrected = -0.36 eV per atom; M_tot = 0.0 μB/cell; SG = P-3m1, No. 164
1.0
5.7210 0.0000 0.0000
-2.8605 4.9545 0.0000
0.0000 0.0000 9.1762
Nd Si Ge Pd
3 1 6 2
Direct
0.0000 0.0000 0.0000 Nd
0.3333 0.6667 0.5891 Nd
0.6667 0.3333 0.4109 Nd
0.0000 0.0000 0.5000 Si
0.1734 0.3468 0.2751 Ge
0.1734 0.8266 0.2751 Ge
0.3468 0.1734 0.7249 Ge
0.6532 0.8266 0.2751 Ge
0.8266 0.1734 0.7249 Ge
0.8266 0.6532 0.7249 Ge
0.3333 0.6667 0.0439 Pd
0.6667 0.3333 0.9561 Pd

***

(7)
GGA-PBE Nd2SiGePd6, relaxed; calculated density = 8.6 g/cm3; energy relative to the elements, uncorrected = -0.75 eV per atom; M_tot = 0.0 μB/cell; SG = Pmmn, No. 59
1.0
5.5757 0.0000 0.0000
0.0000 8.7199 0.0000
0.0000 0.0000 8.1809
Nd Si Ge Pd
4 2 2 12
Direct
0.2500 0.0034 0.2327 Nd
0.2500 0.4966 0.2327 Nd
0.7500 0.5034 0.7673 Nd
0.7500 0.9966 0.7673 Nd
0.2500 0.2500 0.7474 Si
0.7500 0.7500 0.2526 Si
0.2500 0.7500 0.7654 Ge
0.7500 0.2500 0.2346 Ge
0.0006 0.7500 0.4996 Pd
0.0020 0.2500 0.9853 Pd
0.2500 0.0010 0.6143 Pd
0.2500 0.4990 0.6143 Pd
0.4980 0.2500 0.9853 Pd
0.4994 0.7500 0.4996 Pd
0.5006 0.2500 0.5004 Pd
0.5020 0.7500 0.0147 Pd
0.7500 0.5010 0.3857 Pd
0.7500 0.9990 0.3857 Pd
0.9980 0.7500 0.0147 Pd
0.9994 0.2500 0.5004 Pd

***

(8)
GGA-PBE NdSmGe2Pd2, relaxed; calculated density = 8.4 g/cm3; DFT formation energy = -897 meV per atom; M_tot = 0.0 μB/cell; SG = P-3m1, No. 164
1.0
4.4492 0.0000 0.0000
-2.2246 3.8531 0.0000
0.0000 0.0000 7.5012
Nd Sm Ge Pd
1 1 2 2
Direct
0.0000 0.0000 0.0000 Nd
0.0000 0.0000 0.5000 Sm
0.3333 0.6667 0.2542 Ge
0.6667 0.3333 0.7458 Ge
0.3333 0.6667 0.7381 Pd
0.6667 0.3333 0.2619 Pd

***

(9)
GGA-PBE NdSm2Ge2Pd2, relaxed; calculated density = 8.1 g/cm3; DFT formation energy = -787 meV per atom; M_tot = 0.0 μB/cell; SG = R-3m, No. 166
1.0
2.2480 1.2979 9.3913
-2.2480 1.2979 9.3913
0.0000 -2.5958 9.3913
Nd Sm Ge Pd
1 2 2 2
Direct
0.0000 0.0000 0.0000 Nd
0.1252 0.1252 0.1252 Sm
0.8748 0.8748 0.8748 Sm
0.2588 0.2588 0.2588 Ge
0.7412 0.7412 0.7412 Ge
0.3996 0.3996 0.3996 Pd
0.6004 0.6004 0.6004 Pd

***

(10)
GGA-PBE Nd3SnGe2Pd9, relaxed; calculated density = 8.1 g/cm3; DFT formation energy = -537 meV per atom; M_tot = 0.0 μB/cell; SG = P-3m1, No. 164
1.0
6.5129 0.0000 0.0000
-3.2565 5.6404 0.0000
0.0000 0.0000 9.2791
Nd Sn Ge Pd
3 1 2 9
Direct
0.0000 0.0000 0.0000 Nd
0.3333 0.6667 0.7274 Nd
0.6667 0.3333 0.2726 Nd
0.0000 0.0000 0.5000 Sn
0.3333 0.6667 0.1752 Ge
0.6667 0.3333 0.8248 Ge
0.0000 0.5000 0.0000 Pd
0.1414 0.2828 0.2729 Pd
0.1414 0.8586 0.2729 Pd
0.2828 0.1414 0.7271 Pd
0.5000 0.0000 0.0000 Pd
0.5000 0.5000 0.0000 Pd
0.7172 0.8586 0.2729 Pd
0.8586 0.1414 0.7271 Pd
0.8586 0.7172 0.7271 Pd

***

(11)
GGA-PBE Nd2SnGePd6, relaxed; calculated density = 9.3 g/cm3; DFT formation energy = -660 meV per atom; M_tot = 0.0 μB/cell; SG = P-1, No. 2
1.0
5.5425 0.0000 0.0000
2.7651 5.9152 0.0000
2.7687 -0.6973 6.0960
Nd Sn Ge Pd
2 1 1 6
Direct
0.2478 0.2535 0.2515 Nd
0.7522 0.7465 0.7485 Nd
0.0000 0.0000 0.0000 Sn
0.5000 0.5000 0.5000 Ge
0.1997 0.3114 0.7950 Pd
0.2537 0.9216 0.5693 Pd
0.3066 0.6882 0.2043 Pd
0.6934 0.3118 0.7957 Pd
0.7463 0.0784 0.4307 Pd
0.8003 0.6886 0.2050 Pd

***

(12)
GGA-PBE NdSn2Ge2Pd7, relaxed; calculated density = 9.1 g/cm3; DFT formation energy = -436 meV per atom; M_tot = 0.0 μB/cell; SG = C2/m, No. 12
1.0
2.9083 -2.8511 0.0000
2.9083 2.8511 0.0000
-2.6846 0.0000 14.0240
Nd Sn Ge Pd
1 2 2 7
Direct
0.0000 0.0000 0.0000 Nd
0.1080 0.1080 0.3811 Sn
0.8920 0.8920 0.6189 Sn
0.3855 0.3855 0.7397 Ge
0.6145 0.6145 0.2603 Ge
0.0718 0.5755 0.1578 Pd
0.3479 0.3479 0.5653 Pd
0.4245 0.9282 0.8422 Pd
0.5000 0.5000 0.0000 Pd
0.5755 0.0718 0.1578 Pd
0.6521 0.6521 0.4347 Pd
0.9282 0.4245 0.8422 Pd